Entry from Alexandria via LeMat-Bulk: a geometry-optimized Tb3LuNi structure (PBE).

For the calculated volume, the calculation gives 150 Å³/cell. Its crystal system is cubic.

The space group is Pm-3m (No. 221) and the conventional cell measures 5.3104, 5.3104 and 5.3104 Å, with angles of 90.00, 90.00 and 90.00 degrees. The inequivalent atoms are Tb at (0.0000, 0.0000, 0.5000), Lu at (0.5000, 0.5000, 0.5000) and Ni at (0.0000, 0.0000, 0.0000).


Entry from Alexandria via LeMat-Bulk: a geometry-optimized CaMnNi2 structure (PBE).

For the calculated volume, the calculation gives 250 Å³/cell. Its crystal system is cubic. Its energy above the lowest structure with this stoichiometry is 181 meV per atom.

The space group is Fm-3m (No. 225) and the conventional cell measures 6.2961, 6.2961 and 6.2961 Å, with angles of 90.00, 90.00 and 90.00 degrees. The inequivalent atoms are Ca at (0.0000, 0.0000, 0.0000), Mn at (0.0000, 0.0000, 0.5000) and Ni at (0.2500, 0.2500, 0.2500).


Entry from Alexandria via LeMat-Bulk: a geometry-optimized ZrCd2B2 structure (PBE).

For the calculated volume, the calculation gives 147 Å³/cell. Its crystal system is tetragonal. Its energy above the lowest structure with this stoichiometry is 0 meV per atom.

The space group is I4/mmm (No. 139) and the conventional cell measures 3.7997, 3.7997 and 10.1748 Å, with angles of 90.00, 90.00 and 90.00 degrees. The inequivalent atoms are Zr at (0.0000, 0.0000, 0.0000), Cd at (0.0000, 0.5000, 0.2500) and B at (0.0000, 0.0000, 0.4195).


Number 1: theoretical density 7878 kg/m³, formation energy 0.014 eV/atom, total magnetization 0.0 μB per cell. Number 2: theoretical density 5653 kg/m³, formation energy 0.159 eV/atom, total magnetization 18.0 μB per cell. Number 3: theoretical density 7634 kg/m³, formation energy 0.243 eV/atom, total magnetization 0.0 μB per cell.